[1]
An optimized crystal structure of Cr2Tc. Source: Alexandria, functional GGA-PBE.

Properties
The formation energy from the elements is 50 kJ/mol of formula units. Its energy relative to the lowest polymorph listed for this composition is 148 meV per atom.

a b c (Å): 2.531 4.157 7.336
angles (deg): 90.00 90.00 90.00
Atoms (fractional coordinates):
Cr 0.825 0.000 0.662
Tc 0.000 0.000 0.000
Cr 0.325 0.500 0.838
Cr 0.675 0.500 0.162
Tc 0.500 0.500 0.500
Cr 0.175 0.000 0.338

[2]
An optimized crystal structure of Li2PuSiO6. Source: Alexandria, functional GGA-PBE.

Properties
The value obtained for the uncorrected formation energy is -2.2193 eV per atom.

a b c (Å): 4.210 5.342 5.342
angles (deg): 90.00 90.00 90.00
Each line ends with the local moment (μB).
Atoms (fractional coordinates):
O 0.221 0.000 0.000  -0.14
O 0.709 0.229 0.229  -0.09
Li 0.976 0.000 0.500  0.00
O 0.709 0.771 0.771  -0.09
Si 0.606 0.000 0.000  0.00
Pu 0.662 0.500 0.500  2.65
Li 0.976 0.500 0.000  0.00
O 0.709 0.771 0.229  -0.09
O 0.169 0.500 0.500  -0.12
O 0.709 0.229 0.771  -0.09

[3]
An optimized crystal structure of Sm5Te4Au. Source: Alexandria, functional GGA-PBE.

Properties
Its energy relative to the lowest polymorph listed for this composition is 34 meV per atom. The value obtained for the uncorrected formation energy is -1.2528 eV per atom.

a b c (Å): 4.415 4.415 15.942
angles (deg): 97.96 97.96 90.00
Atoms (fractional coordinates):
Sm 0.500 0.500 0.000
Sm 0.904 0.904 0.809
Sm 0.702 0.702 0.404
Te 0.803 0.803 0.606
Sm 0.096 0.096 0.191
Sm 0.298 0.298 0.596
Te 0.197 0.197 0.394
Au 0.000 0.000 0.000
Te 0.399 0.399 0.797
Te 0.601 0.601 0.203

[4]
An optimized crystal structure of La3Pm3ScSe8. Source: Alexandria, functional GGA-PBE.

Properties
The value obtained for the uncorrected formation energy is -1.9051 eV per atom.

a b c (Å): 8.400 8.401 8.480
angles (deg): 119.70 90.00 120.00
Atoms (fractional coordinates):
Se 0.763 0.526 0.268
Pm 0.000 0.500 0.500
La 0.000 0.000 0.000
Se 0.763 0.005 0.268
Se 0.747 0.495 0.743
La 0.500 0.500 0.000
Pm 0.500 0.500 0.500
Sc 0.000 0.000 0.500
Pm 0.500 0.000 0.500
Se 0.253 0.505 0.257
Se 0.237 0.995 0.732
La 0.000 0.500 0.000
Se 0.237 0.474 0.732
Se 0.759 0.995 0.732
Se 0.241 0.005 0.268

[5]
An optimized crystal structure of CrAg3Br. Source: Alexandria, functional GGA-PBE.

Properties
Its energy relative to the lowest polymorph listed for this composition is 129 meV per atom. The value obtained for the uncorrected formation energy is 1.0440 eV per atom.

a b c (Å): 5.211 5.211 5.211
angles (deg): 90.00 90.00 90.00
Each line ends with the local moment (μB).
Atoms (fractional coordinates):
Cr 0.500 0.500 0.500  4.22
Ag 0.500 0.000 0.000  0.03
Ag 0.000 0.000 0.500  0.00
Br 0.000 0.000 0.000  0.05
Ag 0.000 0.500 0.000  0.02

[6]
An optimized crystal structure of Te2WI. Source: Alexandria, functional GGA-PBE.

Properties
Its energy relative to the lowest polymorph listed for this composition is 0 meV per atom. The value obtained for the uncorrected formation energy is 0.1328 eV per atom.

a b c (Å): 12.382 12.382 12.382
angles (deg): 16.28 16.28 16.28
Atoms (fractional coordinates):
Te 0.116 0.116 0.116
Te 0.884 0.884 0.884
W 0.500 0.500 0.500
I 0.000 0.000 0.000

[7]
An optimized crystal structure of BaYVHg2. Source: Alexandria, functional GGA-PBE.

Properties
The formation energy from the elements is 670 kJ/mol of formula units.

a b c (Å): 5.951 6.347 5.951
angles (deg): 90.00 90.00 90.00
Each line ends with the local moment (μB).
Atoms (fractional coordinates):
V 0.500 0.500 0.500  3.17
Ba 0.000 0.000 0.000  -0.03
Hg 0.000 0.000 0.500  0.01
Y 0.000 0.500 0.000  0.02
Hg 0.500 0.000 0.000  0.01

[8]
An optimized crystal structure of Pr2TiGe4Pt3. Source: Alexandria, functional GGA-PBE.

Properties
The formation energy from the elements is -875 kJ/mol of formula units.

a b c (Å): 4.278 4.278 10.788
angles (deg): 90.00 90.00 90.00
Atoms (fractional coordinates):
Pr 0.000 0.500 0.757
Pt 0.500 0.000 0.874
Ti 0.500 0.500 0.500
Ge 0.500 0.500 0.000
Pr 0.500 0.000 0.243
Ge 0.000 0.000 0.000
Pt 0.000 0.500 0.126
Pt 0.000 0.000 0.500
Ge 0.000 0.500 0.361
Ge 0.500 0.000 0.639

[9]
An optimized crystal structure of NdHo2Cu. Source: Alexandria, functional GGA-PBE.

Properties
The formation energy from the elements is 10 kJ/mol of formula units. Its energy relative to the lowest polymorph listed for this composition is 133 meV per atom.

a b c (Å): 3.627 3.627 10.115
angles (deg): 79.67 79.67 60.00
Atoms (fractional coordinates):
Ho 0.267 0.267 0.198
Ho 0.733 0.733 0.802
Nd 0.500 0.500 0.500
Cu 0.000 0.000 0.000

[10]
An optimized crystal structure of Sm3PPb. Source: Alexandria, functional GGA-PBE.

Properties
The formation energy from the elements is -352 kJ/mol of formula units. Its energy relative to the lowest polymorph listed for this composition is 180 meV per atom.

a b c (Å): 5.390 5.390 5.390
angles (deg): 90.00 90.00 90.00
Atoms (fractional coordinates):
P 0.000 0.000 0.000
Sm 0.500 0.000 0.000
Pb 0.500 0.500 0.500
Sm 0.000 0.500 0.000
Sm 0.000 0.000 0.500

[11]
An optimized crystal structure of Li2TmSc3Te6. Source: Alexandria, functional GGA-PBE.

Properties
The value obtained for the uncorrected formation energy is -1.1969 eV per atom.

a b c (Å): 7.228 7.228 7.361
angles (deg): 99.46 99.46 119.99
Atoms (fractional coordinates):
Te 0.256 0.256 0.749
Te 0.577 0.916 0.746
Li 0.669 0.331 0.000
Te 0.423 0.084 0.254
Tm 0.000 0.000 0.000
Sc 0.163 0.837 0.500
Te 0.744 0.744 0.251
Te 0.916 0.577 0.746
Sc 0.500 0.500 0.500
Sc 0.837 0.163 0.500
Li 0.331 0.669 0.000
Te 0.084 0.423 0.254

[12]
An optimized crystal structure of CaP. Source: Alexandria, functional GGA-PBE.

Properties
The formation energy from the elements is -211 kJ/mol of formula units.

a b c (Å): 5.701 7.668 7.668
angles (deg): 120.00 90.00 90.00
Atoms (fractional coordinates):
Ca 0.000 0.309 0.000
P 0.798 0.333 0.667
Ca 0.500 0.000 0.644
Ca 0.000 0.000 0.309
Ca 0.000 0.691 0.691
P 0.697 0.000 0.000
P 0.202 0.667 0.333
Ca 0.500 0.644 0.000
P 0.202 0.333 0.667
P 0.303 0.000 0.000
P 0.798 0.667 0.333
Ca 0.500 0.356 0.356

[13]
An optimized crystal structure of InHgPb2. Source: Alexandria, functional GGA-PBE.

Properties
The formation energy from the elements is 14 kJ/mol of formula units. Its energy relative to the lowest polymorph listed for this composition is 32 meV per atom.

a b c (Å): 6.476 6.476 3.383
angles (deg): 78.48 78.48 117.34
Atoms (fractional coordinates):
Pb 0.000 0.000 0.000
Hg 0.500 0.000 0.500
Pb 0.500 0.500 0.000
In 0.000 0.500 0.500

[14]
An optimized crystal structure of PmCd2Ag3. Source: Alexandria, functional GGA-PBE.

Properties
The formation energy from the elements is -71 kJ/mol of formula units. Its energy relative to the lowest polymorph listed for this composition is 75 meV per atom.

a b c (Å): 5.639 6.967 6.967
angles (deg): 86.14 90.00 90.00
Atoms (fractional coordinates):
Ag 0.250 0.956 0.956
Cd 0.000 0.732 0.268
Ag 0.250 0.908 0.566
Cd 0.500 0.732 0.268
Cd 0.500 0.268 0.732
Cd 0.000 0.268 0.732
Pm 0.250 0.264 0.264
Ag 0.250 0.566 0.908
Ag 0.750 0.434 0.092
Ag 0.750 0.092 0.434
Ag 0.750 0.044 0.044
Pm 0.750 0.736 0.736

[15]
An optimized crystal structure of YScZnIr. Source: Alexandria, functional GGA-PBE.

Properties
The formation energy from the elements is -246 kJ/mol of formula units.

a b c (Å): 4.797 4.797 4.797
angles (deg): 60.00 60.00 60.00
Atoms (fractional coordinates):
Zn 0.000 0.000 0.000
Ir 0.500 0.500 0.500
Y 0.750 0.750 0.750
Sc 0.250 0.250 0.250

[16]
An optimized crystal structure of Pr3Sm2Er7. Source: Alexandria, functional GGA-PBE.

Properties
The formation energy from the elements is 101 kJ/mol of formula units. Its energy relative to the lowest polymorph listed for this composition is 0 meV per atom.

a b c (Å): 3.582 5.834 18.860
angles (deg): 93.13 90.00 90.00
Atoms (fractional coordinates):
Pr 0.000 0.223 0.368
Er 0.000 0.000 0.000
Er 0.500 0.743 0.461
Er 0.500 0.807 0.828
Er 0.000 0.692 0.143
Er 0.500 0.257 0.539
Pr 0.000 0.777 0.632
Er 0.000 0.308 0.857
Er 0.500 0.193 0.172
Sm 0.500 0.711 0.291
Pr 0.500 0.500 0.000
Sm 0.500 0.289 0.709

no.,total magnetization (Bohr magnetons per cell),density of states at the Fermi level (states/eV/f.u.)
1,0.0,4.60
2,2.0,4.10
3,0.0,8.22
4,0.0,8.12
5,5.2,3.26
6,0.0,1.81
7,4.1,7.09
8,0.0,4.41
9,0.0,5.68
10,0.0,3.38
11,0.0,4.50
12,0.0,0.00
13,0.0,1.90
14,0.0,2.98
15,0.0,2.58
16,0.0,14.43